(1)
Rb2TlHgF6: relaxed, PBE.

Cell lengths 6.2058, 6.2058, 9.3072 Å; angles 90.00, 90.00, 90.00 degrees
Closest atoms and distances in Å follow each position.
Space group I4/m (No. 87)
Inequivalent atoms, fractional coordinates:
1 Rb 0.0000 0.5000 0.2500 (multiplicity 4)  8 F 2.79-3.10
2 Tl 0.0000 0.0000 0.0000 (multiplicity 2)  6 F 2.30-2.32
3 Hg 0.0000 0.0000 0.5000 (multiplicity 2)  6 F 2.28-2.33
4 F 0.0000 0.0000 0.2496 (multiplicity 4)  1 Tl 2.32, 1 Hg 2.33
5 F 0.1733 0.6762 0.5000 (multiplicity 8)  1 Hg 2.28, 1 Tl 2.30

Computed properties:
The total energy is -3.634 eV/atom.

***

(2)
La2PrSi2Ge2Ir4: relaxed, PBE.

Cell lengths 4.1559, 4.1871, 25.3430 Å; angles 90.00, 90.00, 90.00 degrees
Closest atoms and distances in Å follow each position.
Space group Immm (No. 71)
Inequivalent atoms, fractional coordinates:
1 La 0.0000 0.0000 0.1449 (multiplicity 4)  8 Ir 3.12-3.38, 2 Ge 3.19, 4 Si 3.27
2 Pr 0.0000 0.5000 0.0000 (multiplicity 2)  8 Ge 3.21, 4 Ir 3.38
3 Si 0.0000 0.0000 0.2999 (multiplicity 4)  5 Ir 2.41-2.45
4 Ge 0.0000 0.5000 0.4505 (multiplicity 4)  1 Ge 2.51, 2 Ir 2.52
5 Ir 0.0000 0.0000 0.3950 (multiplicity 4)  1 Si 2.41, 2 Ge 2.52
6 Ir 0.0000 0.5000 0.2498 (multiplicity 4)  4 Si 2.43-2.45

Computed properties:
Its size of the total moment is 0.00 μB per formula unit. The total energy is -7.345 eV/atom.

***

(3)
Tm2HfIn3Ir2: relaxed, PBE.

Cell lengths 3.4304, 13.1231, 7.6720 Å; angles 90.00, 90.00, 90.00 degrees
Closest atoms and distances in Å follow each position.
Space group Amm2 (No. 38)
Inequivalent atoms, fractional coordinates:
1 Tm 0.0000 0.2099 0.0000 (multiplicity 4)  4 Ir 2.91, 4 In 3.15-3.25
2 Hf 0.0000 0.0000 0.6377 (multiplicity 2)  4 Ir 2.74
3 In 0.5000 0.0000 0.9766 (multiplicity 2)  2 Ir 2.93, 2 In 3.10, 2 Hf 3.11, 4 Tm 3.25
4 In 0.5000 0.1148 0.3296 (multiplicity 4)  2 Ir 2.94-3.13, 2 In 3.01-3.10, 2 Tm 3.15, 2 Hf 3.29
5 Ir 0.5000 0.1580 0.7062 (multiplicity 4)  2 Hf 2.74, 4 Tm 2.91, 2 In 2.93-2.94

Computed properties:
Its size of the total moment is 0.01 μB per formula unit. The total energy is -6.239 eV/atom.

***

(4)
CsLuPbSe3: relaxed, PBE.

Cell lengths 4.1193, 17.7186, 12.0457 Å; angles 90.00, 90.00, 90.00 degrees
Closest atoms and distances in Å follow each position.
Space group Cmcm (No. 63)
Inequivalent atoms, fractional coordinates:
1 Cs 0.0000 0.1957 0.2500 (multiplicity 4)  2 Se 3.44
2 Lu 0.0000 0.5000 0.0000 (multiplicity 4)  6 Se 2.80-3.02
3 Pb 0.0000 0.0986 0.7500 (multiplicity 4)  4 Se 2.83-2.96
4 Se 0.0000 0.1071 0.5043 (multiplicity 8)  2 Lu 2.80, 1 Pb 2.96
5 Se 0.0000 0.4893 0.7500 (multiplicity 4)  2 Pb 2.83, 2 Lu 3.02

Computed properties:
Its size of the total moment is 0.01 μB per formula unit. The total energy is -4.446 eV/atom.